! NpMnS3 | Alexandria | PBE-GGA | optimized geometry; values from VASP
&SYSTEM
  ibrav = 0, nat = 20, ntyp = 3
/
ATOMIC_SPECIES
S 32.06 S.upf
Mn 54.94 Mn.upf
Np 237.00 Np.upf
ATOMIC_POSITIONS angstrom
S -5.744 -8.247 -7.363
Mn -0.682 -7.290 -6.250
S 1.509 -6.202 -6.323
S 1.580 -3.054 -6.472
S -2.859 -5.292 -3.934
S 1.221 -2.106 -3.224
S -0.140 0.974 -2.857
Np -4.560 -5.901 -6.121
Mn 2.125 -1.080 -5.249
Mn -3.840 -3.063 -4.337
S -6.031 -4.151 -4.264
Np 0.038 -4.452 -4.467
S -4.382 -11.327 -7.730
S -1.663 -5.061 -6.653
S -2.865 -8.237 -6.078
S -6.103 -7.299 -4.115
S -1.657 -2.116 -4.510
Np -3.298 -8.955 -8.844
Np -1.224 -1.399 -1.743
Mn -6.647 -9.273 -5.338
CELL_PARAMETERS angstrom
-1.131 2.086 -2.863
5.187 -3.254 -4.421
-8.578 -9.185 -3.304
! calculated density: 7.06 g/cm3
! raw total energy: -157.80 eV for the cell shown
! formation energy (no corrections): -0.99 eV per atom
! Fermi-level density of states: 7.5 states/eV/f.u.


! SmTm3Co | Alexandria | PBE-GGA | optimized geometry; values from VASP
&SYSTEM
  ibrav = 0, nat = 20, ntyp = 3
/
ATOMIC_SPECIES
Tm 168.93 Tm.upf
Sm 150.36 Sm.upf
Co 58.93 Co.upf
ATOMIC_POSITIONS angstrom
Tm -9.829 -2.115 -2.795
Sm -6.948 -2.230 -4.815
Tm -3.517 -1.559 -0.125
Tm -0.279 0.423 -4.913
Co -3.911 -3.494 -6.294
Tm -3.906 -2.779 -3.673
Co -6.197 1.802 -1.414
Tm -6.646 -0.924 -1.520
Sm -4.549 2.542 -6.781
Tm -6.591 -0.133 -7.583
Tm -5.472 -6.038 -3.991
Tm -4.637 4.346 -3.717
Sm -3.160 0.538 -2.894
Tm -6.203 1.086 -4.035
Sm -5.559 -4.234 -0.927
Co -10.253 -0.850 -0.428
Tm -1.537 1.243 -7.979
Co 0.145 -0.842 -7.280
Tm -3.462 -0.768 -6.188
Tm -8.571 -2.936 0.271
CELL_PARAMETERS angstrom
-4.188 5.356 -2.478
2.138 -1.675 -7.234
-8.059 -5.374 2.004
! calculated density: 9.01 g/cm3
! DFT formation energy: -20 kJ/mol of formula units
! raw total energy: -101.80 eV for the cell shown
! Fermi-level density of states: 5.9 states/eV/f.u.


! K2Ag2Hg | Alexandria | PBE-GGA | optimized geometry; values from VASP
&SYSTEM
  ibrav = 0, nat = 10, ntyp = 3
/
ATOMIC_SPECIES
Ag 107.87 Ag.upf
Hg 200.59 Hg.upf
K 39.10 K.upf
ATOMIC_POSITIONS angstrom
Ag 3.704 1.035 2.022
Hg 4.739 4.739 0.000
Ag 5.774 8.442 2.022
K 7.791 6.425 0.000
Ag 8.442 3.704 2.022
Ag 1.035 5.774 2.022
K 6.425 1.687 0.000
K 1.687 3.052 0.000
K 3.052 7.791 0.000
Hg 0.000 0.000 0.000
CELL_PARAMETERS angstrom
9.478 0.000 0.000
0.000 9.478 0.000
0.000 0.000 4.044
! calculated density: 4.52 g/cm3
! DFT formation energy: 45 kJ/mol of formula units
! raw total energy: -15.47 eV for the cell shown
! Fermi-level density of states: 0.5 states/eV/f.u.


! Tm2TcS | Alexandria | PBE-GGA | optimized geometry; values from VASP
&SYSTEM
  ibrav = 0, nat = 4, ntyp = 3
/
ATOMIC_SPECIES
Tm 168.93 Tm.upf
S 32.06 S.upf
Tc 98.00 Tc.upf
ATOMIC_POSITIONS angstrom
Tm 1.954 -1.321 6.038
S -0.662 -1.577 5.648
Tc 0.000 0.000 0.000
Tm -3.277 -1.834 5.259
CELL_PARAMETERS angstrom
-2.613 0.893 2.005
-2.164 -2.378 1.144
3.453 -1.670 8.148
! calculated density: 8.77 g/cm3
! raw total energy: -24.20 eV for the cell shown
! formation energy (no corrections): -0.19 eV per atom
! Fermi-level density of states: 2.1 states/eV/f.u.


! Re3As | Alexandria | PBE-GGA | optimized geometry; values from VASP
&SYSTEM
  ibrav = 0, nat = 4, ntyp = 2
/
ATOMIC_SPECIES
Re 186.21 Re.upf
As 74.92 As.upf
ATOMIC_POSITIONS angstrom
Re -0.600 0.299 2.441
As 0.000 0.000 0.000
Re 0.542 -2.119 5.356
Re 1.289 -1.810 2.635
CELL_PARAMETERS angstrom
-2.637 1.800 2.526
-0.734 -2.526 1.034
3.313 -1.094 4.237
! calculated density: 17.48 g/cm3
! DFT formation energy: 127 kJ/mol of formula units
! raw total energy: -40.67 eV for the cell shown
! Fermi-level density of states: 2.8 states/eV/f.u.